1.
First-principles (GGA-PBE) data for crystalline NaIn3I at its relaxed geometry, as listed in the Alexandria database.

Cell: 5.7754 5.7754 5.7754 Å, 90.00 90.00 90.00°
Fractional coordinates of all 5 atoms:
In 0.5000 0.0000 0.0000
In 0.0000 0.5000 0.0000
In 0.0000 0.0000 0.5000
I 0.5000 0.5000 0.5000
Na 0.0000 0.0000 0.0000

Properties
uncorrected formation energy: 1.2 eV per formula unit
energy relative to the lowest polymorph listed for this composition: 0 meV/atom
size of the total moment: 0.000 μB per atom
energy: -9.86 eV per formula unit

2.
First-principles (GGA-PBE) data for crystalline CaRe2Rh at its relaxed geometry, as listed in the Alexandria database.

Cell: 4.5251 4.5251 4.5251 Å, 60.00 60.00 60.00°
Fractional coordinates of all 4 atoms:
Re 0.0000 0.0000 0.0000
Re 0.7500 0.7500 0.7500
Rh 0.2500 0.2500 0.2500
Ca 0.5000 0.5000 0.5000

Properties
energy relative to the lowest polymorph listed for this composition: 183 meV/atom
size of the total moment: 0.000 μB per atom
energy: -32.61 eV per formula unit

3.
First-principles (GGA-PBE) data for crystalline VCo3Pd at its relaxed geometry, as listed in the Alexandria database.

Cell: 4.5161 4.5161 4.5161 Å, 90.00 90.00 90.00°
Last column: magnetic moment on the atom in μB.
Fractional coordinates of all 5 atoms:
V 0.5000 0.5000 0.5000  2.48
Co 0.0000 0.5000 0.0000  1.99
Co 0.5000 0.0000 0.0000  1.99
Co 0.0000 0.0000 0.5000  1.99
Pd 0.0000 0.0000 0.0000  0.59

Properties
energy relative to the lowest polymorph listed for this composition: 544 meV/atom
size of the total moment: 1.890 μB per atom
energy: -27.91 eV per formula unit